No. 1
Material: La4Ce3Os2
Method: DFT, PBE
State: relaxed

As for the volume: 29.9 Å³ per atom. For the energy relative to the elements, the calculation gives -0.11 eV/atom.

The structure belongs to space group C2/m (No. 12); the cell edges are 17.5201, 3.8456 and 8.9492 Å and the angles 90.00°, 116.72° and 90.00°. The distinct sites, in fractional coordinates, are La at (0.1141, 0.0000, 0.3752), La at (0.2291, 0.5000, 0.1478), Ce at (0.0000, 0.5000, 0.0000), Ce at (0.0807, 0.5000, 0.6902) and Os at (0.0881, 0.0000, 0.9083).

No. 2
Material: Pm3Nd7Ho2
Method: DFT, PBE
State: relaxed

As for the volume: 36.2 Å³ per atom. For the energy relative to the elements, the calculation gives 0.28 eV/atom.

The structure belongs to space group R-3m (No. 166, hexagonal axes); the cell edges are 6.6534, 6.6534 and 34.0084 Å and the angles 90.00°, 90.00° and 120.00°. The distinct sites, in fractional coordinates, are Pm at (0.0000, 0.0000, 0.0000), Pm at (0.0000, 0.0000, 0.1522), Nd at (0.0000, 0.0000, 0.5000), Nd at (0.0058, 0.5029, 0.9161) and Ho at (0.0000, 0.0000, 0.3341).

No. 3
Material: La2CdCu2Pt5
Method: DFT, PBE
State: relaxed

As for the volume: 18.5 Å³ per atom. For the energy relative to the elements, the calculation gives -0.74 eV/atom.

The structure belongs to space group P4/mbm (No. 127); the cell edges are 9.6239, 9.6239 and 4.0017 Å and the angles 90.00°, 90.00° and 90.00°. The distinct sites, in fractional coordinates, are La at (0.1781, 0.3219, 0.0000), Cd at (0.0000, 0.0000, 0.0000), Cu at (0.1194, 0.6194, 0.0000), Pt at (0.0000, 0.5000, 0.5000) and Pt at (0.0672, 0.7891, 0.5000).

No. 4
Material: Ca6AgHg
Method: DFT, PBE
State: relaxed

As for the volume: 34.2 Å³ per atom. For the energy relative to the elements, the calculation gives -0.22 eV/atom.

The structure belongs to space group I4/mmm (No. 139); the cell edges are 5.3755, 5.3755 and 18.9108 Å and the angles 90.00°, 90.00° and 90.00°. The distinct sites, in fractional coordinates, are Ca at (0.0000, 0.0000, 0.2502), Ca at (0.0000, 0.5000, 0.0959), Ag at (0.0000, 0.0000, 0.0000) and Hg at (0.0000, 0.0000, 0.5000).

No. 5
Material: Pr6Sb2TeS3
Method: DFT, PBE
State: relaxed

As for the volume: 28.7 Å³ per atom. The uncorrected formation energy comes out at -19.57 eV per formula unit.

The structure belongs to space group C2/m (No. 12); the cell edges are 18.9476, 4.3056 and 8.7157 Å and the angles 90.00°, 104.12° and 90.00°. The distinct sites, in fractional coordinates, are Pr at (0.0059, 0.0000, 0.2264), Pr at (0.1613, 0.5000, 0.0960), Pr at (0.1751, 0.5000, 0.5716), Sb at (0.1658, 0.0000, 0.8313), Te at (0.0000, 0.5000, 0.5000), S at (0.0000, 0.5000, 0.0000) and S at (0.1661, 0.0000, 0.3339).

No. 6
Material: HPd2Br2
Method: DFT, PBE
State: relaxed

As for the volume: 17.7 Å³ per atom. As for the total energy: -3.16 eV per atom.

The structure belongs to space group P4/mbm (No. 127); the cell edges are 5.9757, 5.9757 and 4.9473 Å and the angles 90.00°, 90.00° and 90.00°. The distinct sites, in fractional coordinates, are H at (0.0000, 0.0000, 0.0000), Pd at (0.2370, 0.2630, 0.0000) and Br at (0.1860, 0.3140, 0.5000).